DFT (PBE with a Hubbard U) results for a geometry-optimized Ba2CoF structure.

Structure (POSCAR):
```
Ba2CoF
1.0
-3.0771 3.0771 6.7577
3.0771 -3.0771 6.7577
3.0771 3.0771 -6.7577
Ba Co F
4 2 2
Direct
0.1107 0.6250 0.9857
0.3750 0.3607 0.4857
0.6393 0.1250 0.0143
0.8750 0.8893 0.5143
0.2500 0.7500 0.5000
0.5000 0.5000 0.0000
0.0000 0.0000 0.0000
0.7500 0.2500 0.5000
```

* energy: -3.34 eV per atom